Entry 1:
The following is a DFT calculation (PBE) of a relaxed structure of RbAs2PBr.

Cell lengths 8.312, 8.312, 6.379 Å; angles 90.00, 90.00, 90.00 degrees
Fractional coordinates of all 5 atoms:
P (0.500, 0.500, 0.500)
As (0.000, 0.500, 0.000)
As (0.500, 0.000, 0.000)
Br (0.000, 0.000, 0.500)
Rb (0.000, 0.000, 0.000)

Properties
Uncorrected energy   -10.63 eV for the cell shown
Raw formation energy   129.6 kJ per mole of atoms
Energy relative to the lowest polymorph listed for this composition   1376.2 meV/atom

=====

Entry 2:
The following is a DFT calculation (PBE) of a relaxed structure of La4Pm2Tm5.

Cell lengths 5.723, 6.713, 10.043 Å; angles 90.48, 106.55, 90.00 degrees
Fractional coordinates of all 11 atoms:
La (0.307, 0.919, 0.614)
La (0.977, 0.711, 0.955)
La (0.693, 0.081, 0.386)
La (0.023, 0.289, 0.045)
Pm (0.400, 0.440, 0.800)
Pm (0.600, 0.560, 0.200)
Tm (0.789, 0.597, 0.579)
Tm (0.211, 0.403, 0.421)
Tm (0.869, 0.120, 0.739)
Tm (0.500, 0.000, 0.000)
Tm (0.131, 0.880, 0.261)

Properties
Calculated formation energy   95 meV per atom
Uncorrected energy   -50.53 eV for the cell shown
Fermi-level density of states   15.98 states/eV per cell
Energy relative to the lowest polymorph listed for this composition   0.0 meV/atom

=====

Entry 3:
The following is a DFT calculation (PBE) of a relaxed structure of NdTmPa.

Cell lengths 4.646, 4.646, 8.556 Å; angles 90.00, 90.00, 90.00 degrees
Fractional coordinates of all 6 atoms:
Pa (0.000, 0.000, 0.000)
Pa (0.500, 0.500, 0.000)
Tm (0.000, 0.500, 0.727)
Tm (0.500, 0.000, 0.273)
Nd (0.000, 0.500, 0.315)
Nd (0.500, 0.000, 0.685)

Properties
Calculated formation energy   282 meV per atom
Uncorrected energy   -35.78 eV for the cell shown
Fermi-level density of states   9.95 states/eV per cell
Energy relative to the lowest polymorph listed for this composition   136.3 meV/atom

=====

Entry 4:
The following is a DFT calculation (PBE) of a relaxed structure of NaCdInAg.

Cell lengths 5.007, 5.007, 5.007 Å; angles 60.00, 60.00, 60.00 degrees
Fractional coordinates of all 4 atoms:
Na (0.000, 0.000, 0.000)
Cd (0.750, 0.750, 0.750)
Ag (0.250, 0.250, 0.250)
In (0.500, 0.500, 0.500)

Properties
Calculated formation energy   -73 meV per atom
Uncorrected energy   -8.12 eV for the cell shown
Fermi-level density of states   1.72 states/eV per cell
Energy relative to the lowest polymorph listed for this composition   0.0 meV/atom

=====

Entry 5:
The following is a DFT calculation (PBE) of a relaxed structure of TbInNi.

Cell lengths 3.303, 3.303, 6.123 Å; angles 105.65, 105.65, 90.00 degrees
Fractional coordinates of all 3 atoms:
Ni (0.944, 0.944, 0.887)
Tb (0.596, 0.596, 0.192)
In (0.310, 0.310, 0.621)

Properties
Calculated formation energy   -307 meV per atom
Uncorrected energy   -14.07 eV for the cell shown
Fermi-level density of states   2.17 states/eV per cell

=====

Entry 6:
The following is a DFT calculation (PBE) of a relaxed structure of Ta4Zn3.

Cell lengths 5.054, 5.054, 5.156 Å; angles 90.00, 90.00, 60.00 degrees
Fractional coordinates of all 7 atoms:
Ta (0.000, 0.000, 0.261)
Ta (0.000, 0.000, 0.739)
Ta (0.333, 0.333, 0.500)
Ta (0.667, 0.667, 0.500)
Zn (0.500, 0.500, 0.000)
Zn (0.000, 0.500, 0.000)
Zn (0.500, 0.000, 0.000)

Properties
Calculated formation energy   -59 meV per atom
Uncorrected energy   -51.65 eV for the cell shown
Fermi-level density of states   4.24 states/eV per cell
Energy relative to the lowest polymorph listed for this composition   0.0 meV/atom

=====

Entry 7:
The following is a DFT calculation (PBE) of a relaxed structure of Ge2Mo2Pb.

Cell lengths 7.971, 7.971, 2.890 Å; angles 90.00, 90.00, 90.00 degrees
Fractional coordinates of all 10 atoms:
Pb (0.000, 0.000, 0.000)
Pb (0.500, 0.500, 0.000)
Mo (0.146, 0.646, 0.500)
Mo (0.646, 0.854, 0.500)
Mo (0.854, 0.354, 0.500)
Mo (0.354, 0.146, 0.500)
Ge (0.358, 0.858, 0.000)
Ge (0.858, 0.642, 0.000)
Ge (0.642, 0.142, 0.000)
Ge (0.142, 0.358, 0.000)

Properties
Calculated formation energy   369 meV per atom
Uncorrected energy   -65.52 eV for the cell shown
Fermi-level density of states   8.36 states/eV per cell
Energy relative to the lowest polymorph listed for this composition   115.9 meV/atom

=====

Entry 8:
The following is a DFT calculation (PBE) of a relaxed structure of SrNi2Ge4.

Cell lengths 4.242, 6.613, 17.397 Å; angles 90.00, 90.00, 90.00 degrees
Fractional coordinates of all 28 atoms:
Sr (0.750, 0.006, 0.641)
Sr (0.250, 0.994, 0.359)
Sr (0.250, 0.506, 0.859)
Sr (0.750, 0.494, 0.141)
Ni (0.250, 0.749, 0.532)
Ni (0.750, 0.251, 0.468)
Ni (0.750, 0.249, 0.968)
Ni (0.250, 0.751, 0.032)
Ni (0.250, 0.990, 0.791)
Ni (0.750, 0.010, 0.209)
Ni (0.750, 0.490, 0.709)
Ni (0.250, 0.510, 0.291)
Ge (0.250, 0.291, 0.698)
Ge (0.750, 0.709, 0.302)
Ge (0.750, 0.791, 0.802)
Ge (0.250, 0.209, 0.198)
Ge (0.250, 0.688, 0.679)
Ge (0.750, 0.312, 0.321)
Ge (0.750, 0.188, 0.821)
Ge (0.250, 0.812, 0.179)
Ge (0.250, 0.149, 0.528)
Ge (0.750, 0.851, 0.472)
Ge (0.750, 0.649, 0.972)
Ge (0.250, 0.351, 0.028)
Ge (0.250, 0.481, 0.433)
Ge (0.750, 0.519, 0.567)
Ge (0.750, 0.981, 0.067)
Ge (0.250, 0.019, 0.933)

Properties
Calculated formation energy   -312 meV per atom
Uncorrected energy   -135.60 eV for the cell shown
Fermi-level density of states   10.76 states/eV per cell

=====

| no. | theoretical density (Mg/m³) |
| --- | --- |
| 1 | 1.3 |
| 2 | 7.6 |
| 3 | 9.8 |
| 4 | 6.7 |
| 5 | 8.9 |
| 6 | 13.4 |
| 7 | 9.8 |
| 8 | 6.7 |